w.
Entry from OQMD: crystalline NaCoReAg at its relaxed geometry (PBE).

The structure in POSCAR format:
```
NaCoReAg
1.0
0.000 3.134 3.134
3.134 0.000 3.134
3.134 3.134 0.000
Na Co Re Ag
1 1 1 1
Cartesian
0.000 0.000 0.000 Na
4.700 4.700 4.700 Co
3.134 3.134 3.134 Re
1.567 1.567 1.567 Ag
```

As for the space group: F-43m (216).

x.
Entry from OQMD: crystalline NaCoReAg at its relaxed geometry (PBE).

The structure in POSCAR format:
```
NaCoReAg
1.0
0.000 3.072 3.072
3.072 0.000 3.072
3.072 3.072 0.000
Na Co Re Ag
1 1 1 1
Cartesian
0.000 0.000 0.000 Na
3.072 3.072 3.072 Co
1.536 1.536 1.536 Re
4.608 4.608 4.608 Ag
```

As for the space group: F-43m (216).

Verdict on stability: x comes out on top.

w.
Entry from OQMD: crystalline NbCoAg at its relaxed geometry (PBE).

The structure in POSCAR format:
```
NbCoAg
1.0
0.000 3.028 3.028
3.028 0.000 3.028
3.028 3.028 0.000
Nb Co Ag
1 1 1
Cartesian
0.000 0.000 0.000 Nb
1.514 1.514 1.514 Co
4.542 4.542 4.542 Ag
```

As for the space group: F-43m (216).

x.
Entry from OQMD: crystalline NbCoAg at its relaxed geometry (PBE).

The structure in POSCAR format:
```
NbCoAg
1.0
0.000 2.954 2.954
2.954 0.000 2.954
2.954 2.954 0.000
Nb Co Ag
1 1 1
Cartesian
0.000 0.000 0.000 Nb
4.431 4.431 4.431 Co
2.954 2.954 2.954 Ag
```

As for the space group: F-43m (216).

Verdict on stability: x comes out on top.

w.
Entry from OQMD: crystalline ZnCoNiAg at its relaxed geometry (PBE).

The structure in POSCAR format:
```
ZnCoNiAg
1.0
0.000 2.985 2.985
2.985 0.000 2.985
2.985 2.985 0.000
Zn Co Ni Ag
1 1 1 1
Cartesian
0.000 0.000 0.000 Zn
1.492 1.492 1.492 Co
4.477 4.477 4.477 Ni
2.985 2.985 2.985 Ag
```

As for the space group: F-43m (216).

x.
Entry from OQMD: crystalline ZnCoNiAg at its relaxed geometry (PBE).

The structure in POSCAR format:
```
ZnCoNiAg
1.0
0.000 2.988 2.988
2.988 0.000 2.988
2.988 2.988 0.000
Zn Co Ni Ag
1 1 1 1
Cartesian
0.000 0.000 0.000 Zn
1.494 1.494 1.494 Co
2.988 2.988 2.988 Ni
4.482 4.482 4.482 Ag
```

As for the space group: F-43m (216).

Verdict on stability: x comes out on top.